Entry 1:
Density functional theory data (GGA-PBE) for a geometry-optimized NaNbTcSn2 structure.

Calculated values
The energy of formation is 0.526 eV/atom.

Lattice parameters (Å, degrees): 5.205 5.205 4.967 90.00 90.00 90.00
Space group P4/mmm (No. 123)
Symmetry-distinct sites (fractional):
Na1 0.000 0.000 0.000 x1
Nb1 0.500 0.500 0.000 x1
Tc1 0.500 0.500 0.500 x1
Sn1 0.000 0.500 0.500 x2

=====

Entry 2:
Density functional theory data (GGA-PBE) for a geometry-optimized Tl2PCl structure.

Calculated values
The uncorrected formation energy is -0.8 kcal/mol of atoms.

Lattice parameters (Å, degrees): 3.472 3.602 8.261 90.00 90.09 90.00
Space group P2/m (No. 10)
Symmetry-distinct sites (fractional):
Tl1 0.004 0.000 0.244 x2
P1 0.500 0.500 0.000 x1
Cl1 0.500 0.500 0.500 x1

=====

Entry 3:
Density functional theory data (GGA-PBE) for a geometry-optimized ZrMo2Os structure.

Calculated values
The energy of formation is -0.020 eV/atom.

Lattice parameters (Å, degrees): 3.200 4.606 9.068 90.00 90.00 90.00
Space group Imm2 (No. 44)
Symmetry-distinct sites (fractional):
Zr1 0.000 0.000 0.000 x2
Mo1 0.000 0.000 0.497 x2
Mo2 0.000 0.500 0.759 x2
Os1 0.000 0.500 0.243 x2